Entry from the Alexandria database: a geometry-optimized TcAg2Au structure (PBE).

Cell lengths 6.5341, 6.5341, 6.5341 Å; angles 90.00, 90.00, 90.00 degrees
Space group Fm-3m (No. 225)
One atom of each set of equivalent atoms:
Tc 0.0000 0.0000 0.0000 (multiplicity 4)
Ag 0.2500 0.2500 0.2500 (multiplicity 8)
Au 0.0000 0.0000 0.5000 (multiplicity 4)

Properties
For the energy above the most stable polymorph in this dataset, the calculation gives 270 meV per atom. The total energy comes out at -68.39 eV/cell. As for the energy of formation from the pure elements: 0.562 eV per atom. Its density is 12.16 g/cm³.